1.
Below is crystalline CePu2Si2Pd2 at its relaxed geometry, with properties calculated at the PBE level.

The calculation puts the formation energy (no corrections) at -46.56 kJ per mole of atoms. Its total energy is -59.2 eV for the cell shown.

The structure in POSCAR format:
```
CePu2Si2Pd2
1.0
2.040 1.178 9.213
-2.040 1.178 9.213
0.000 -2.356 9.213
Ce Pu Si Pd
1 2 2 2
direct
0.000 0.000 0.000 Ce
0.149 0.149 0.149 Pu
0.851 0.851 0.851 Pu
0.252 0.252 0.252 Si
0.748 0.748 0.748 Si
0.404 0.404 0.404 Pd
0.596 0.596 0.596 Pd
```



2.
Below is crystalline CePu2Sn2Pd2 at its relaxed geometry, with properties calculated at the PBE level.

The energy of formation from the pure elements comes out at -0.542 eV/atom. Its total energy is -56.8 eV for the cell shown.

The structure in POSCAR format:
```
CePu2Sn2Pd2
1.0
2.355 1.360 8.550
-2.355 1.360 8.550
0.000 -2.719 8.550
Ce Pu Sn Pd
1 2 2 2
direct
0.000 0.000 0.000 Ce
0.139 0.139 0.139 Pu
0.861 0.861 0.861 Pu
0.266 0.266 0.266 Sn
0.734 0.734 0.734 Sn
0.425 0.425 0.425 Pd
0.575 0.575 0.575 Pd
```



3.
Below is crystalline CePuThPd at its relaxed geometry, with properties calculated at the PBE level.

The energy of formation from the pure elements comes out at -0.167 eV/atom. Its total energy is -33.5 eV for the cell shown.

The structure in POSCAR format:
```
CePuThPd
1.0
0.000 3.625 3.625
3.625 0.000 3.625
3.625 3.625 0.000
Ce Pu Th Pd
1 1 1 1
direct
0.000 0.000 0.000 Ce
0.750 0.750 0.750 Pu
0.250 0.250 0.250 Th
0.500 0.500 0.500 Pd
```



4.
Below is crystalline CePuZnPd at its relaxed geometry, with properties calculated at the PBE level.

The energy of formation from the pure elements comes out at -0.281 eV/atom. Its total energy is -27.9 eV for the cell shown.

The structure in POSCAR format:
```
CePuZnPd
1.0
0.000 3.576 3.576
3.576 0.000 3.576
3.576 3.576 0.000
Ce Pu Zn Pd
1 1 1 1
direct
0.000 0.000 0.000 Ce
0.500 0.500 0.500 Pu
0.750 0.750 0.750 Zn
0.250 0.250 0.250 Pd
```



5.
Below is crystalline RbCe2PdS4 at its relaxed geometry, with properties calculated at the PBE level.

The calculation puts the formation energy (no corrections) at -155.76 kJ per mole of atoms. Its total energy is -94.9 eV for the cell shown.

The structure in POSCAR format:
```
RbCe2PdS4
1.0
2.064 -6.989 0.000
2.064 6.989 0.000
0.000 0.000 14.011
Rb Ce Pd S
2 4 2 8
direct
0.110 0.890 0.750 Rb
0.890 0.110 0.250 Rb
0.367 0.633 0.566 Ce
0.367 0.633 0.934 Ce
0.633 0.367 0.066 Ce
0.633 0.367 0.434 Ce
0.163 0.837 0.250 Pd
0.837 0.163 0.750 Pd
0.000 0.000 0.000 S
0.000 0.000 0.500 S
0.261 0.739 0.105 S
0.261 0.739 0.395 S
0.431 0.569 0.750 S
0.569 0.431 0.250 S
0.739 0.261 0.605 S
0.739 0.261 0.895 S
```



6.
Below is crystalline Rb4Ce3PdS8 at its relaxed geometry, with properties calculated at the PBE level.

The calculation puts the formation energy (no corrections) at -140.54 kJ per mole of atoms. Its total energy is -83.2 eV for the cell shown.

The structure in POSCAR format:
```
Rb4Ce3PdS8
1.0
7.431 -4.017 0.000
7.431 4.017 0.000
-4.559 0.000 7.708
Rb Ce Pd S
4 3 1 8
direct
0.000 0.000 0.000 Rb
0.000 0.500 0.000 Rb
0.500 0.000 0.000 Rb
0.500 0.500 0.000 Rb
0.000 0.000 0.500 Ce
0.000 0.500 0.500 Ce
0.500 0.000 0.500 Ce
0.500 0.500 0.500 Pd
0.225 0.225 0.696 S
0.233 0.233 0.280 S
0.252 0.700 0.670 S
0.300 0.748 0.330 S
0.700 0.252 0.670 S
0.748 0.300 0.330 S
0.767 0.767 0.720 S
0.775 0.775 0.304 S
```